Entry 1:
Y6MnBi2 | PBE-GGA | relaxed

The structure belongs to space group P-62m (No. 189); the cell edges are 8.3180, 8.3180 and 4.2542 Å and the angles 90.00°, 90.00° and 120.00°. The inequivalent atoms are Y at (0.0000, 0.3925, 0.0000), Y at (0.0000, 0.7695, 0.5000), Mn at (0.0000, 0.0000, 0.0000) and Bi at (0.3333, 0.6667, 0.5000).

Its mass density is 6.56 g cm⁻³. The calculation puts the total DFT energy (no corrections) at -6.597 eV per atom. Its density of states at the Fermi level is 3.83 states/eV/cell.

***

Entry 2:
TiTl2Se2Cl2 | PBE-GGA | relaxed

The structure belongs to space group C2/m (No. 12); the cell edges are 16.863, 3.679 and 6.822 Å and the angles 90.00°, 113.78° and 90.00°. The inequivalent atoms are Ti at (0.000, 0.000, 0.000), Tl at (0.179, 0.000, 0.679), Se at (0.160, 0.000, 0.159) and Cl at (0.000, 0.500, 0.246).

The calculation puts the formation energy (no corrections) at -0.86 eV/atom. Its mass density is 5.88 g cm⁻³. The calculation puts the total DFT energy (no corrections) at -4.183 eV per atom. Its density of states at the Fermi level is 2.67 states/eV/cell.

***

Entry 3:
HgAsSe2Cl | PBE-GGA | relaxed

The structure belongs to space group P4/mmm (No. 123); the cell edges are 5.199, 5.199 and 4.929 Å and the angles 90.00°, 90.00° and 90.00°. The inequivalent atoms are Hg at (0.000, 0.000, 0.000), As at (0.500, 0.500, 0.000), Se at (0.000, 0.500, 0.500) and Cl at (0.500, 0.500, 0.500).

The calculation puts the formation energy (no corrections) at 0.92 eV/atom. Its mass density is 5.84 g cm⁻³. The calculation puts the total DFT energy (no corrections) at -1.835 eV per atom. Its density of states at the Fermi level is 5.54 states/eV/cell. The calculation puts the excess energy over the best structure of this formula in the dataset at 0.038 eV/atom.

***

Entry 4:
Zr5Tl2Hg2 | PBE-GGA | relaxed

The structure belongs to space group Cmce (No. 64); the cell edges are 14.645, 7.693 and 7.576 Å and the angles 90.00°, 90.00° and 90.00°. The inequivalent atoms are Zr at (0.000, 0.000, 0.000), Zr at (0.134, 0.179, 0.326), Tl at (0.213, 0.000, 0.000) and Hg at (0.000, 0.127, 0.631).

Its mass density is 9.85 g cm⁻³. The calculation puts the total DFT energy (no corrections) at -5.322 eV per atom. Its density of states at the Fermi level is 43.56 states/eV/cell.

***

> Look up the mass density of the second one.

5.88 g cm⁻³

***

> What is the mass density in the third record?

5.84 g cm⁻³

***

> Look up the total DFT energy (no corrections) of the fourth one.

-5.322 eV per atom